(1)
## KCu2PdF8 (GGA-PBE)

Data for an optimized crystal structure of KCu2PdF8.

It has space group I-4 (No. 82), with a = 5.395 Å, b = 5.395 Å, c = 11.647 Å, α = 90.00°, β = 90.00° and γ = 90.00°. The inequivalent atoms are K at (0.000, 0.000, 0.000), Cu at (0.000, 0.000, 0.500), Cu at (0.000, 0.500, 0.250), Pd at (0.000, 0.500, 0.750), F at (0.121, 0.267, 0.590) and F at (0.179, 0.772, 0.190).

The calculation puts the density of states at the Fermi level at 11.08 states/eV/cell. The value obtained for the electronic total energy is -3.95 eV/atom. As for the energy relative to the elements, uncorrected: -1.4924 eV/atom. As for the mass density: 4.16 g/cm3.

***

(2)
## Sr2ZnAu2 (GGA-PBE)

Data for an optimized crystal structure of Sr2ZnAu2.

It has space group P4/mbm (No. 127), with a = 8.053 Å, b = 8.053 Å, c = 4.295 Å, α = 90.00°, β = 90.00° and γ = 90.00°. The inequivalent atoms are Sr at (0.174, 0.326, 0.000), Zn at (0.000, 0.000, 0.500) and Au at (0.128, 0.628, 0.500).

The formation energy from the elements comes out at -0.5761 eV per atom. The calculation puts the density of states at the Fermi level at 7.16 states/eV/cell. The value obtained for the electronic total energy is -2.81 eV/atom. As for the mass density: 7.57 g/cm3.